No. 1
Below is a crystal of Rb2AlInBr relaxed with PBEsol, with properties calculated at the meta-GGA SCAN level.

a b c (Å): 4.8606 6.9602 6.9602
angles (deg): 90.00 90.00 90.00
With the nearest neighbours (Å) after each atom.
Sites, in units of the cell vectors:
Al (0.5000, 0.0000, 0.0000)  2 In 2.43
Br (0.5000, 0.5000, 0.5000)  8 Rb 4.24
Rb (0.0000, 0.0000, 0.5000)  2 In 3.48
Rb (0.0000, 0.5000, 0.0000)  2 In 3.48
In (0.0000, 0.0000, 0.0000)  2 Al 2.43

Properties
DOS(E_F) = 2.003 states/eV/cell
formation energy (no corrections) = -0.3143 eV per atom
size of the total moment = 0.00 μB per cell
raw total energy = -103.6 eV per cell

---

No. 2
Below is a crystal of TlFeOs relaxed with PBEsol, with properties calculated at the meta-GGA SCAN level.

a b c (Å): 3.1038 4.2280 4.2280
angles (deg): 120.00 90.00 90.00
With the nearest neighbours (Å) after each atom.
Sites, in units of the cell vectors:
Fe (0.8751, 0.0000, 0.0000)  3 Os 2.45
Os (0.8019, 0.6667, 0.3333)  3 Fe 2.45
Tl (0.3230, 0.3333, 0.6667)  6 Fe 2.81-2.98, 6 Os 2.86-2.93, 2 Tl 3.10

Properties
DOS(E_F) = 1.715 states/eV/cell
polymorph energy (0 for the lowest one) = 0.0 kJ/mol of atoms
size of the total moment = 3.23 μB per cell
raw total energy = -159.9 eV per cell
calculated formation energy = 19.20 kcal/mol of atoms

---

No. 3
Below is a crystal of KP2Au5S8 relaxed with PBEsol, with properties calculated at the meta-GGA SCAN level.

a b c (Å): 10.0493 11.7789 13.4294
angles (deg): 90.00 90.00 106.14
With the nearest neighbours (Å) after each atom.
Sites, in units of the cell vectors:
K (0.6885, 0.3394, 0.7539)  6 S 3.19-3.41
K (0.3115, 0.1606, 0.2539)  6 S 3.19-3.41
K (0.3115, 0.6606, 0.2461)  6 S 3.19-3.41
K (0.6885, 0.8394, 0.7461)  6 S 3.19-3.41
P (0.9381, 0.1226, 0.8179)  4 S 2.03-2.15
P (0.0619, 0.8774, 0.1821)  4 S 2.03-2.15
P (0.4086, 0.7163, 0.9464)  4 S 2.04-2.15
P (0.0619, 0.3774, 0.3179)  4 S 2.03-2.15
P (0.5914, 0.7837, 0.4464)  4 S 2.04-2.15
P (0.4086, 0.2163, 0.5536)  4 S 2.04-2.15
P (0.5914, 0.2837, 0.0536)  4 S 2.04-2.15
P (0.9381, 0.6226, 0.6821)  4 S 2.03-2.15
Au (0.1112, 0.4434, 0.5502)  2 S 2.29-2.30
Au (0.8888, 0.5566, 0.4498)  2 S 2.29-2.30
Au (0.7679, 0.9500, 0.2636)  2 S 2.31
Au (0.2437, 0.3069, 0.7458)  2 S 2.33
Au (0.7679, 0.4500, 0.2364)  2 S 2.31
Au (0.9404, 0.3477, 0.0872)  2 S 2.30-2.31
Au (0.4412, 0.4304, 0.9032)  2 S 2.29
Au (0.4412, 0.9304, 0.5968)  2 S 2.29
Au (0.7563, 0.6931, 0.2542)  2 S 2.33
Au (0.8888, 0.0566, 0.0502)  2 S 2.29-2.30
Au (0.5588, 0.5696, 0.0968)  2 S 2.29
Au (0.2321, 0.0500, 0.7364)  2 S 2.31
Au (0.2321, 0.5500, 0.7636)  2 S 2.31
Au (0.0596, 0.6523, 0.9128)  2 S 2.30-2.31
Au (0.1112, 0.9434, 0.9498)  2 S 2.29-2.30
Au (0.5588, 0.0696, 0.4032)  2 S 2.29
Au (0.7563, 0.1931, 0.2458)  2 S 2.33
Au (0.2437, 0.8069, 0.7542)  2 S 2.33
Au (0.0596, 0.1523, 0.5872)  2 S 2.30-2.31
Au (0.9404, 0.8477, 0.4128)  2 S 2.30-2.31
S (0.9869, 0.5300, 0.3011)  1 P 2.15, 2 Au 2.29-2.31
S (0.2312, 0.9274, 0.0925)  1 P 2.03
S (0.5883, 0.6289, 0.3772)  1 P 2.04
S (0.9150, 0.7382, 0.1239)  1 P 2.03
S (0.4258, 0.7434, 0.5406)  1 P 2.04
S (0.5883, 0.1289, 0.1228)  1 P 2.04
S (0.2306, 0.6243, 0.0160)  1 P 2.04
S (0.7694, 0.8757, 0.5160)  1 P 2.04
S (0.5467, 0.8916, 0.3291)  1 P 2.15, 2 Au 2.29-2.31
S (0.4258, 0.2434, 0.9594)  1 P 2.04
S (0.4117, 0.3711, 0.6228)  1 P 2.04
S (0.2312, 0.4274, 0.4075)  1 P 2.03
S (0.7688, 0.0726, 0.9075)  1 P 2.03
S (0.9150, 0.2382, 0.3761)  1 P 2.03
S (0.5467, 0.3916, 0.1709)  1 P 2.15, 2 Au 2.29-2.31
S (0.7694, 0.3757, 0.9840)  1 P 2.04
S (0.8628, 0.1438, 0.6793)  1 P 2.05
S (0.4533, 0.1084, 0.6709)  1 P 2.15, 2 Au 2.29-2.31
S (0.8628, 0.6438, 0.8207)  1 P 2.05
S (0.4533, 0.6083, 0.8291)  1 P 2.15, 2 Au 2.29-2.31
S (0.5742, 0.2566, 0.4594)  1 P 2.04
S (0.0850, 0.7618, 0.6239)  1 P 2.03
S (0.0850, 0.2618, 0.8761)  1 P 2.03
S (0.0131, 0.4700, 0.6989)  1 P 2.15, 2 Au 2.29-2.31
S (0.4117, 0.8711, 0.8772)  1 P 2.04
S (0.9869, 0.0300, 0.1989)  1 P 2.15, 2 Au 2.29-2.31
S (0.1372, 0.3562, 0.1793)  1 P 2.05
S (0.7688, 0.5726, 0.5925)  1 P 2.03
S (0.0131, 0.9700, 0.8011)  1 P 2.15, 2 Au 2.29-2.31
S (0.2306, 0.1243, 0.4840)  1 P 2.04
S (0.1372, 0.8562, 0.3207)  1 P 2.05
S (0.5742, 0.7566, 0.0406)  1 P 2.04

Properties
formation energy (no corrections) = -0.3903 eV per atom
size of the total moment = 0.00 μB per cell
raw total energy = -1832.7 eV per cell

---

Q: Among the records above, which one has the highest raw total energy?
A: Rb2AlInBr

---

Q: Which formula does entry 2 have?
A: TlFeOs